First-principles (PBE) data for an optimized crystal structure of CeTm2Tl4, as listed in Alexandria.

a = 5.2343 Å, b = 5.2343 Å, c = 7.6352 Å
α = 90.00°, β = 90.00°, γ = 90.00°
Each line ends with the local moment (μB).
Fractional positions:
Tl  0.5000  0.0000  0.2735  0.01
Tl  0.0000  0.5000  0.7265  0.01
Tl  0.5000  0.0000  0.7265  0.01
Tl  0.0000  0.5000  0.2735  0.01
Tm  0.0000  0.0000  0.0000  0.21
Tm  0.5000  0.5000  0.5000  0.04
Ce  0.5000  0.5000  0.0000  0.91

Results
The space group is P4/mmm, No. 123. The calculation puts the energy above the most stable polymorph in this dataset at 0.00 kJ/mol of atoms. Its magnetization is 1.6 μB per formula unit. The density comes out at 10.3 g cm⁻³. Its formation enthalpy at 0 K is -0.1535 eV per atom.

First-principles (PBE) data for an optimized crystal structure of PrDySiAu, as listed in Alexandria.

a = 5.1562 Å, b = 5.1562 Å, c = 5.1562 Å
α = 60.00°, β = 60.00°, γ = 60.00°
Each line ends with the local moment (μB).
Fractional positions:
Pr  0.2500  0.2500  0.2500  0.16
Si  0.5000  0.5000  0.5000  -0.02
Au  0.0000  0.0000  0.0000  0.04
Dy  0.7500  0.7500  0.7500  0.21

Results
The space group is F-43m, No. 216. Its magnetization is 0.6 μB per formula unit. The uncorrected formation energy is -0.617 eV per atom. The density comes out at 9.1 g cm⁻³.

First-principles (PBE) data for an optimized crystal structure of AcU2Se8, as listed in Alexandria.

a = 5.3192 Å, b = 7.6438 Å, c = 7.6438 Å
α = 113.95°, β = 93.89°, γ = 93.89°
Each line ends with the local moment (μB).
Fractional positions:
Ac  0.5000  0.0000  0.0000  -0.01
U  0.0000  0.3040  0.6960  0.85
U  0.0000  0.6960  0.3040  0.85
Se  0.9294  0.9222  0.6784  -0.07
Se  0.9294  0.6784  0.9222  -0.07
Se  0.3217  0.5825  0.5825  -0.03
Se  0.5000  0.7489  0.2511  -0.07
Se  0.5000  0.2511  0.7489  -0.07
Se  0.6783  0.4175  0.4175  -0.03
Se  0.0706  0.3216  0.0778  -0.07
Se  0.0706  0.0778  0.3216  -0.07

Results
The space group is C2/m, No. 12. Its magnetization is 1.1 μB per formula unit. The uncorrected formation energy is -1.062 eV per atom. The density comes out at 7.9 g cm⁻³.

First-principles (PBE) data for an optimized crystal structure of Sr2I3Cl, as listed in Alexandria.

a = 8.9567 Å, b = 8.9567 Å, c = 8.9567 Å
α = 103.32°, β = 109.92°, γ = 115.40°
Fractional positions:
Sr  0.2913  0.2500  0.5413
Sr  0.0000  0.5000  0.0000
Sr  0.5000  0.0000  0.0000
Sr  0.7087  0.7500  0.4587
I  0.0345  0.7500  0.7845
I  0.9655  0.2500  0.2155
I  0.5000  0.2997  0.2997
I  0.0000  0.7997  0.2997
I  0.0000  0.2003  0.7003
I  0.5000  0.7003  0.7003
Cl  0.5758  0.2500  0.8258
Cl  0.4242  0.7500  0.1742

Results
The space group is Imma, No. 74. The calculation puts the energy above the most stable polymorph in this dataset at 2.75 kJ/mol of atoms. Its magnetization is 0.0 μB per formula unit. The uncorrected formation energy is -1.865 eV per atom. The density comes out at 3.6 g cm⁻³.

First-principles (PBE) data for an optimized crystal structure of NbRe3Br, as listed in Alexandria.

a = 4.5243 Å, b = 4.5243 Å, c = 4.5243 Å
α = 90.00°, β = 90.00°, γ = 90.00°
Fractional positions:
Re  0.0000  0.5000  0.0000
Re  0.0000  0.0000  0.5000
Re  0.5000  0.0000  0.0000
Nb  0.5000  0.5000  0.5000
Br  0.0000  0.0000  0.0000

Results
The space group is Pm-3m, No. 221. The calculation puts the energy above the most stable polymorph in this dataset at 0.00 kJ/mol of atoms. Its magnetization is 0.0 μB per formula unit. The uncorrected formation energy is 2.084 eV per atom. The density comes out at 13.1 g cm⁻³.

First-principles (PBE) data for an optimized crystal structure of HoCdO, as listed in Alexandria.

a = 3.2356 Å, b = 3.2356 Å, c = 10.3190 Å
α = 90.00°, β = 90.00°, γ = 90.00°
Fractional positions:
Cd  0.0000  0.5000  0.6051
Cd  0.5000  0.0000  0.3949
Ho  0.0000  0.5000  0.1382
Ho  0.5000  0.0000  0.8618
O  0.5000  0.0000  0.0865
O  0.0000  0.5000  0.9135

Results
The space group is P4/nmm, No. 129. The calculation puts the energy above the most stable polymorph in this dataset at 13.50 kJ/mol of atoms. Its magnetization is 0.0 μB per formula unit. The uncorrected formation energy is -1.957 eV per atom. The density comes out at 9.0 g cm⁻³.

First-principles (PBE) data for an optimized crystal structure of Cs3TeH2, as listed in Alexandria.

a = 5.8997 Å, b = 5.7316 Å, c = 14.2051 Å
α = 91.11°, β = 101.99°, γ = 90.00°
Fractional positions:
Cs  0.2018  0.2612  0.4035
Cs  0.0716  0.7581  0.1432
Cs  0.4286  0.7394  0.8573
Cs  0.7982  0.7388  0.5965
Cs  0.5714  0.2606  0.1427
Cs  0.9284  0.2419  0.8568
Te  0.3381  0.2229  0.6763
Te  0.6619  0.7771  0.3237
H  0.3313  0.8355  0.6625
H  0.6687  0.1645  0.3375
H  0.9583  0.7438  0.9167
H  0.0417  0.2562  0.0833

Results
The space group is C2/m, No. 12. The calculation puts the total energy at -2.3690 eV per atom. Its magnetization is 0.0 μB per formula unit. The density comes out at 3.7 g cm⁻³.

First-principles (PBE) data for an optimized crystal structure of K4GeS4, as listed in Alexandria.

a = 12.9140 Å, b = 12.9140 Å, c = 12.9140 Å
α = 90.00°, β = 90.00°, γ = 90.00°
Fractional positions:
K  0.3659  0.1508  0.4138
K  0.1508  0.5862  0.6341
K  0.9138  0.3492  0.1341
K  0.6517  0.6517  0.6517
K  0.1517  0.8483  0.8483
K  0.6341  0.8492  0.4138
K  0.8659  0.0862  0.3492
K  0.4138  0.3659  0.1508
K  0.8492  0.5862  0.3659
K  0.6508  0.1341  0.0862
K  0.8483  0.1517  0.8483
K  0.8492  0.4138  0.6341
K  0.6517  0.3483  0.3483
K  0.6508  0.8659  0.9138
K  0.1341  0.0862  0.6508
K  0.1508  0.4138  0.3659
K  0.1517  0.1517  0.1517
K  0.3483  0.3483  0.6517
K  0.6341  0.1508  0.5862
K  0.3492  0.8659  0.0862
K  0.3492  0.1341  0.9138
K  0.0862  0.3492  0.8659
K  0.4138  0.6341  0.8492
K  0.3659  0.8492  0.5862
K  0.1341  0.9138  0.3492
K  0.8659  0.9138  0.6508
K  0.3483  0.6517  0.3483
K  0.9138  0.6508  0.8659
K  0.5862  0.3659  0.8492
K  0.0862  0.6508  0.1341
K  0.5862  0.6341  0.1508
K  0.8483  0.8483  0.1517
Ge  0.0000  0.7500  0.5000
Ge  0.5000  0.0000  0.2500
Ge  0.5000  0.0000  0.7500
Ge  0.2500  0.5000  0.0000
Ge  0.0000  0.2500  0.5000
Ge  0.7500  0.5000  0.0000
Ge  0.0000  0.0000  0.0000
Ge  0.5000  0.5000  0.5000
S  0.8448  0.5958  0.1103
S  0.8997  0.1003  0.1003
S  0.3897  0.0958  0.6552
S  0.6552  0.3897  0.0958
S  0.8997  0.8997  0.8997
S  0.6003  0.3997  0.6003
S  0.3448  0.6103  0.0958
S  0.1103  0.1552  0.4042
S  0.0958  0.6552  0.3897
S  0.3448  0.3897  0.9042
S  0.8897  0.8448  0.4042
S  0.1103  0.8448  0.5958
S  0.5958  0.8897  0.1552
S  0.6103  0.9042  0.6552
S  0.1552  0.4042  0.1103
S  0.9042  0.3448  0.3897
S  0.6103  0.0958  0.3448
S  0.4042  0.1103  0.1552
S  0.3997  0.3997  0.3997
S  0.5958  0.1103  0.8448
S  0.8897  0.1552  0.5958
S  0.3997  0.6003  0.6003
S  0.6552  0.6103  0.9042
S  0.1003  0.8997  0.1003
S  0.9042  0.6552  0.6103
S  0.1003  0.1003  0.8997
S  0.8448  0.4042  0.8897
S  0.3897  0.9042  0.3448
S  0.0958  0.3448  0.6103
S  0.4042  0.8897  0.8448
S  0.1552  0.5958  0.8897
S  0.6003  0.6003  0.3997

Results
The space group is P-43n, No. 218. The calculation puts the energy above the most stable polymorph in this dataset at 0.00 kJ/mol of atoms. Its magnetization is 0.0 μB per formula unit. The uncorrected formation energy is -1.069 eV per atom. The density comes out at 2.2 g cm⁻³.

First-principles (PBE) data for an optimized crystal structure of In2CoS4, as listed in Alexandria.

a = 7.5000 Å, b = 7.5000 Å, c = 7.5000 Å
α = 60.00°, β = 60.00°, γ = 60.00°
Each line ends with the local moment (μB).
Fractional positions:
In  0.6250  0.1250  0.6250  0.01
In  0.6250  0.6250  0.6250  0.01
In  0.6250  0.6250  0.1250  0.01
In  0.1250  0.6250  0.6250  0.01
Co  0.0000  0.0000  0.0000  2.22
Co  0.2500  0.2500  0.2500  2.22
S  0.8743  0.8743  0.8743  0.10
S  0.3757  0.8730  0.3757  0.10
S  0.8730  0.3757  0.3757  0.10
S  0.3757  0.3757  0.8730  0.10
S  0.3770  0.8743  0.8743  0.10
S  0.8743  0.8743  0.3770  0.10
S  0.3757  0.3757  0.3757  0.10
S  0.8743  0.3770  0.8743  0.10

Results
The space group is Fd-3m, No. 227. Its magnetization is 3.0 μB per formula unit. The uncorrected formation energy is -0.391 eV per atom. The density comes out at 4.6 g cm⁻³.

First-principles (PBE) data for an optimized crystal structure of Pm4CuSn8, as listed in Alexandria.

a = 4.4262 Å, b = 4.4939 Å, c = 17.4539 Å
α = 90.00°, β = 90.00°, γ = 90.00°
Fractional positions:
Pm  0.0000  0.0000  0.0931
Pm  0.0000  0.5000  0.6064
Pm  0.5000  0.5000  0.3961
Pm  0.5000  0.0000  0.8957
Cu  0.0000  0.0000  0.3190
Sn  0.0000  0.0000  0.4634
Sn  0.0000  0.5000  0.9321
Sn  0.5000  0.5000  0.0481
Sn  0.5000  0.0000  0.5749
Sn  0.0000  0.5000  0.2365
Sn  0.0000  0.0000  0.7494
Sn  0.5000  0.0000  0.2346
Sn  0.5000  0.5000  0.7538

Results
The space group is Pmm2, No. 25. Its magnetization is 0.0 μB per formula unit. The density comes out at 7.6 g cm⁻³. Its formation enthalpy at 0 K is -0.5913 eV per atom.

First-principles (PBE) data for an optimized crystal structure of ThZn2SiNi4, as listed in Alexandria.

a = 4.0461 Å, b = 4.0461 Å, c = 8.5658 Å
α = 76.34°, β = 76.34°, γ = 60.00°
Fractional positions:
Th  0.0000  0.0000  0.0000
Zn  0.7613  0.7613  0.7162
Zn  0.2387  0.2387  0.2838
Si  0.5000  0.5000  0.5000
Ni  0.4058  0.4058  0.7826
Ni  0.8639  0.8639  0.4082
Ni  0.1361  0.1361  0.5918
Ni  0.5942  0.5942  0.2174

Results
The space group is R-3m, No. 166. Its magnetization is 0.0 μB per formula unit. The uncorrected formation energy is -0.382 eV per atom. The density comes out at 8.9 g cm⁻³.

First-principles (PBE) data for an optimized crystal structure of YPu3Th4S8, as listed in Alexandria.

a = 7.9123 Å, b = 8.0403 Å, c = 7.9123 Å
α = 119.48°, β = 120.00°, γ = 90.00°
Each line ends with the local moment (μB).
Fractional positions:
Y  0.0000  0.5000  0.0000  0.03
Pu  0.5000  0.5000  0.0000  5.23
Pu  0.5000  0.5000  0.5000  5.23
Pu  0.0000  0.5000  0.5000  5.23
Th  0.5000  0.0000  0.0000  -0.01
Th  0.5000  0.0000  0.5000  -0.05
Th  0.0000  0.0000  0.0000  -0.05
Th  0.0000  0.0000  0.5000  -0.05
S  0.2455  0.7378  0.9923  -0.04
S  0.2456  0.7379  0.4912  -0.04
S  0.2544  0.2630  0.5087  -0.06
S  0.7467  0.7378  0.9923  -0.04
S  0.2533  0.2622  0.0077  -0.04
S  0.7456  0.7370  0.4913  -0.06
S  0.7544  0.2621  0.5088  -0.04
S  0.7545  0.2622  0.0077  -0.04

Results
The space group is R-3m, No. 166. Its magnetization is 16.0 μB per formula unit. The uncorrected formation energy is -1.849 eV per atom. The density comes out at 9.3 g cm⁻³.

- What is the density in the ninth record?
  4.6 g cm⁻³

- The highest density belongs to which entry?
  NbRe3Br

- Which formula does entry 10 have?
  Pm4CuSn8